! BaLi2Ta | Alexandria via LeMat-Bulk | PBE | optimized geometry; values from VASP
! * symmetry: C2/m (12)
! * ΔE to the lowest computed polymorph: 145 meV per atom
! * DFT formation energy: 0.8098 eV per atom
&SYSTEM
  ibrav = 0, nat = 4, ntyp = 3
/
ATOMIC_SPECIES
Ba 137.33 Ba.upf
Li 6.94 Li.upf
Ta 180.95 Ta.upf
ATOMIC_POSITIONS angstrom
Ba -1.751 -1.819 -1.909
Li 0.000 0.000 0.000
Li -3.705 -1.114 0.479
Ta 1.089 -3.158 -0.987
CELL_PARAMETERS angstrom
-6.544 0.226 -0.443
3.043 -3.864 -3.374
-0.865 -2.453 1.400